A relaxed Li3La crystal. Source: Alexandria via LeMat-Bulk, functional PBE.

Summary:
Electronic total energy   -2.47 eV per atom
Polymorph energy (0 for the lowest one)   165.2 meV per atom
Formation energy   199 meV per atom

The structure in CIF format:
```
data_Li3La
_symmetry_space_group_name_H-M 'P 63/m m c'
_symmetry_Int_Tables_number 194
_symmetry_space_group_name_Hall '-P 6c 2c'
_cell_length_a 6.8316
_cell_length_b 6.8316
_cell_length_c 5.2060
_cell_angle_alpha 90.00
_cell_angle_beta 90.00
_cell_angle_gamma 120.00
loop_
_atom_site_label
_atom_site_fract_x
_atom_site_fract_y
_atom_site_fract_z
Li1 0.1424 0.2847 0.2500
La1 0.3333 0.6667 0.7500
```